(1)
Ti2NbV2 | PBE | relaxed

Cell and atoms, written as POSCAR:
```
Ti2NbV2
1.0
3.593 0.000 0.000
0.000 3.593 0.000
1.797 1.797 6.445
Nb Ti V
1 2 2
Direct
0.000 0.000 0.000
0.400 0.400 0.200
0.600 0.600 0.800
0.250 0.750 0.500
0.750 0.250 0.500
```

Summary:
The mass density is 5.8 Mg/m³. Its total DFT energy (no corrections) is -8.424 eV/atom. The energy relative to the lowest polymorph listed for this composition is 186.6 meV per atom. Its calculated volume is 16.64 Å³/atom. Its total magnetic moment is 0.00 Bohr magnetons per cell. Its space-group type is No. 139.

---

(2)
TiNbV3 | PBE | relaxed

Cell and atoms, written as POSCAR:
```
TiNbV3
1.0
-0.810 2.339 3.599
1.099 -3.428 2.475
4.149 1.364 0.047
V Nb Ti
3 1 1
Direct
0.000 0.500 0.000
0.000 0.000 0.500
0.500 0.000 0.000
0.500 0.500 0.500
0.000 0.000 0.000
```

Summary:
The mass density is 5.8 Mg/m³. Its total DFT energy (no corrections) is -7.974 eV/atom. The energy relative to the lowest polymorph listed for this composition is 811.1 meV per atom. Its calculated volume is 16.67 Å³/atom. Its total magnetic moment is 0.00 Bohr magnetons per cell. Its space-group type is No. 221.

---

(3)
TiNb3V8 | PBE | relaxed

Cell and atoms, written as POSCAR:
```
TiNb3V8
1.0
-1.042 -4.866 -1.028
2.269 2.906 -3.497
7.274 -2.173 2.913
V Nb Ti
8 3 1
Direct
0.993 0.497 0.749
0.503 0.007 0.749
0.163 0.837 0.251
0.333 0.667 0.000
0.163 0.327 0.251
0.673 0.837 0.251
0.503 0.497 0.749
0.333 0.667 0.501
0.667 0.333 0.062
0.000 0.000 0.936
0.667 0.333 0.439
0.000 0.000 0.563
```

Summary:
The mass density is 6.7 Mg/m³. Its total DFT energy (no corrections) is -9.295 eV/atom. Its calculated volume is 15.15 Å³/atom. Its total magnetic moment is 0.00 Bohr magnetons per cell. Its space-group type is No. 156.

---

(4)
TiNbV | PBE | relaxed

Cell and atoms, written as POSCAR:
```
TiNbV
1.0
-0.053 -1.199 -4.574
-3.775 -2.183 -1.828
-3.373 3.493 -3.322
V Ti Nb
2 2 2
Direct
0.734 0.734 0.797
0.266 0.266 0.203
0.421 0.421 0.738
0.579 0.579 0.262
0.906 0.906 0.283
0.094 0.094 0.717
```

Summary:
The mass density is 6.3 Mg/m³. Its total DFT energy (no corrections) is -8.600 eV/atom. The energy relative to the lowest polymorph listed for this composition is 384.5 meV per atom. Its calculated volume is 16.82 Å³/atom. Its total magnetic moment is 0.00 Bohr magnetons per cell. Its space-group type is No. 166.

---

DFT formation energy, record by record: 1.98, 5.45, -0.49, 1.28 eV/f.u.